This record from the Alexandria database describes an optimized crystal structure of Li6CaMg12. The functional is PBE.

Calculated values
Calculated total energy = -30.9 eV per cell
Formation energy = 0.09 eV/atom
Total magnetic moment = 0.000 μB per formula unit
DOS(E_F) = 9.07 states/eV/cell

abc: 8.0067 8.0067 8.0067
angles: 105.29 105.29 105.29
Closest atoms and distances in Å follow each position.
Fractional positions:
Li: 0.7320 0.2906 0.7320  7 Mg 2.73-2.94
Li: 0.2906 0.7320 0.7320  7 Mg 2.73-2.94
Li: 0.7094 0.2680 0.2680  7 Mg 2.73-2.94
Li: 0.2680 0.7094 0.2680  7 Mg 2.73-2.94
Li: 0.2680 0.2680 0.7094  7 Mg 2.73-2.94
Li: 0.7320 0.7320 0.2906  7 Mg 2.73-2.94
Mg: 0.4139 0.1602 0.4139  3 Li 2.80-2.94
Mg: 0.5861 0.8398 0.5861  3 Li 2.80-2.94
Mg: 0.8815 0.5000 0.1185  4 Li 2.73-2.84, 1 Mg 3.02
Mg: 0.5000 0.8815 0.1185  4 Li 2.73-2.84, 1 Mg 3.02
Mg: 0.1185 0.5000 0.8815  4 Li 2.73-2.84, 1 Mg 3.02
Mg: 0.1185 0.8815 0.5000  4 Li 2.73-2.84, 1 Mg 3.02
Mg: 0.4139 0.4139 0.1602  3 Li 2.80-2.94
Mg: 0.1602 0.4139 0.4139  3 Li 2.80-2.94
Mg: 0.5861 0.5861 0.8398  3 Li 2.80-2.94
Mg: 0.5000 0.1185 0.8815  4 Li 2.73-2.84, 1 Mg 3.02
Mg: 0.8398 0.5861 0.5861  3 Li 2.80-2.94
Mg: 0.8815 0.1185 0.5000  4 Li 2.73-2.84, 1 Mg 3.02
Ca: 0.0000 0.0000 0.0000  6 Mg 3.65



This record from the Alexandria database describes an optimized crystal structure of LiAcZn2Ga. The functional is PBE.

Calculated values
Calculated total energy = -13.3 eV per cell
Formation energy = -0.33 eV/atom
Total magnetic moment = 0.002 μB per formula unit
DOS(E_F) = 3.30 states/eV/cell

abc: 4.4968 4.4968 6.1736
angles: 111.36 111.36 90.00
Closest atoms and distances in Å follow each position.
Fractional positions:
Zn: 0.6215 0.6215 0.2430  1 Zn 2.57, 2 Li 2.63, 2 Ga 2.63
Zn: 0.3785 0.3785 0.7570  1 Zn 2.57, 2 Li 2.63, 2 Ga 2.63
Ga: 0.2500 0.7500 0.5000  4 Zn 2.63
Li: 0.7500 0.2500 0.5000  4 Zn 2.63
Ac: 0.0000 0.0000 0.0000  8 Zn 3.43, 4 Li 3.47, 4 Ga 3.47



This record from the Alexandria database describes an optimized crystal structure of TmV3. The functional is PBE.

Calculated values
Calculated total energy = -30.1 eV per cell
Formation energy = 0.43 eV/atom
Total magnetic moment = 0.000 μB per formula unit
DOS(E_F) = 4.12 states/eV/cell

abc: 3.3003 4.3213 4.8947
angles: 90.00 90.00 90.00
Closest atoms and distances in Å follow each position.
Fractional positions:
V: 0.0000 0.0000 0.9132  6 V 2.47-2.73
V: 0.5000 0.5000 0.8536  6 V 2.66-2.73, 2 Tm 2.91
V: 0.5000 0.0000 0.5368  4 V 2.47-2.66
Tm: 0.0000 0.5000 0.3630  10 V 2.85-3.08



This record from the Alexandria database describes an optimized crystal structure of PuSc2Zn9. The functional is PBE.

Calculated values
Calculated total energy = -41.4 eV per cell
Formation energy = -0.25 eV/atom
Total magnetic moment = 5.702 μB per formula unit
DOS(E_F) = 14.93 states/eV/cell

abc: 5.3266 5.3266 8.9575
angles: 72.70 72.70 60.00
Closest atoms and distances in Å follow each position.
Fractional positions:
Sc: 0.8583 0.8583 0.4250  12 Zn 3.02-3.14, 3 Sc 3.32
Sc: 0.1417 0.1417 0.5750  12 Zn 3.02-3.14, 3 Sc 3.32
Zn: 0.3350 0.3350 0.9951  6 Zn 2.64-2.66
Zn: 0.9228 0.4105 0.2563  7 Zn 2.59-2.73
Zn: 0.0772 0.5895 0.7437  7 Zn 2.59-2.73
Zn: 0.5895 0.0772 0.7437  7 Zn 2.59-2.73
Zn: 0.4105 0.9228 0.2563  7 Zn 2.59-2.73
Zn: 0.5000 0.5000 0.5000  6 Zn 2.59
Zn: 0.4105 0.4105 0.2563  7 Zn 2.59-2.73
Zn: 0.5895 0.5895 0.7437  7 Zn 2.59-2.73
Zn: 0.6650 0.6650 0.0049  6 Zn 2.64-2.66
Pu: 0.0000 0.0000 0.0000  18 Zn 3.08-3.43



This record from the Alexandria database describes an optimized crystal structure of LiLa2PaN4. The functional is PBE.

Calculated values
Calculated total energy = -64.0 eV per cell
Total magnetic moment = 0.000 μB per formula unit
Raw formation energy = -1.177 eV/atom
DOS(E_F) = 0.19 states/eV/cell

abc: 3.7342 6.1625 6.0195
angles: 73.16 90.00 90.00
Closest atoms and distances in Å follow each position.
Fractional positions:
Li: 0.0000 0.5000 0.5000  2 N 2.40
N: 0.5000 0.2584 0.8045  1 Pa 2.15
N: 0.0000 0.2645 0.2455  1 Li 2.40, 3 La 2.50-2.65, 2 Pa 2.56
N: 0.5000 0.7416 0.1955  1 Pa 2.15
N: 0.0000 0.7355 0.7545  1 Li 2.40, 3 La 2.50-2.65, 2 Pa 2.56
La: 0.0000 0.0000 0.0000  6 N 2.50-2.51
La: 0.5000 0.0000 0.5000  6 N 2.65-2.75
Pa: 0.5000 0.5000 0.0000  2 N 2.15



This record from the Alexandria database describes an optimized crystal structure of YZr2SnBi. The functional is PBE.

Calculated values
Calculated total energy = -29.4 eV per cell
Formation energy = 0.41 eV/atom
Total magnetic moment = 1.820 μB per formula unit
DOS(E_F) = 6.05 states/eV/cell

abc: 5.3496 5.6269 5.3496
angles: 90.00 90.00 90.00
Closest atoms and distances in Å follow each position.
Fractional positions:
Sn: 0.0000 0.0000 0.0000  4 Zr 2.67, 2 Y 2.81
Bi: 0.5000 0.5000 0.5000  4 Y 3.78, 8 Zr 3.88
Y: 0.0000 0.5000 0.0000  2 Sn 2.81
Zr: 0.0000 0.0000 0.5000  2 Sn 2.67
Zr: 0.5000 0.0000 0.0000  2 Sn 2.67